[1]
# Pr6Sm2DyMg

An optimized crystal structure of Pr6Sm2DyMg (PBE-GGA, the Alexandria database).

Geometry as POSCAR:
```
Pr6Sm2DyMg
1.0
0.3851 7.7356 -6.1099
5.6776 -4.9515 -4.6447
-8.5731 -1.6862 -1.4088
Pr Sm Dy Mg
12 4 2 2
direct
0.0500 0.1211 0.7546
0.1941 0.5708 0.0005
0.8059 0.4292 0.9995
0.3876 0.4948 0.2994
0.6124 0.5052 0.7006
0.1124 0.7006 0.5052
0.4500 0.2454 0.8789
0.3059 0.9995 0.4292
0.9500 0.8789 0.2454
0.8876 0.2994 0.4948
0.6941 0.0005 0.5708
0.5500 0.7546 0.1211
0.9461 0.7089 0.8020
0.0539 0.2911 0.1980
0.5539 0.1980 0.2911
0.4461 0.8020 0.7089
0.2500 0.9824 0.0176
0.7500 0.0176 0.9824
0.2500 0.4059 0.5941
0.7500 0.5941 0.4059
```

## Properties
Its space group is C2/c, No. 15. The total energy comes out at -4.323 eV per atom.


[2]
# MnBeTcPd

An optimized crystal structure of MnBeTcPd (PBE-GGA, the Alexandria database).

Geometry as POSCAR:
```
MnBeTcPd
1.0
-1.2500 1.7668 1.5671
-3.3197 -0.6473 -1.9182
-0.4959 -4.4625 2.3641
Pd Tc Be Mn
1 1 1 1
direct
0.9411 0.5000 0.2815
0.2629 0.0000 0.9269
0.5329 0.0000 0.4563
0.6695 0.5000 0.7524
```

## Properties
Its space group is Pm, No. 6. The total energy comes out at -7.129 eV per atom.


[3]
# Dy4HoPu3Se8

An optimized crystal structure of Dy4HoPu3Se8 (PBE-GGA, the Alexandria database).

Geometry as POSCAR:
```
Dy4HoPu3Se8
1.0
-0.4313 2.7740 -7.6730
3.0340 -7.1249 -2.7464
-6.6585 0.0245 4.7332
Se Dy Pu Ho
8 4 3 1
direct
0.7503 0.2468 0.5006
0.7515 0.7549 0.5031
0.2491 0.7530 0.0034
0.2497 0.7532 0.4994
0.7509 0.2470 0.9966
0.2457 0.2470 0.9966
0.7543 0.7530 0.0034
0.2485 0.2451 0.4969
0.0000 0.0000 0.5000
0.5000 0.0000 0.0000
0.5000 0.0000 0.5000
0.0000 0.0000 0.0000
0.0000 0.5000 0.5000
0.5000 0.5000 0.5000
0.5000 0.5000 0.0000
0.0000 0.5000 0.0000
```

## Properties
Its space group is R-3m, No. 166. The total energy comes out at -7.559 eV per atom. The uncorrected formation energy comes out at -1.692 eV/atom.